First-principles (PBE) data for a geometry-optimized KNbZn structure, as listed in Alexandria via LeMat-Bulk.

Results
final energy: -3.8019 eV per atom
DFT formation energy: 345 meV/atom
energy above the lowest structure with this stoichiometry: 115 meV per atom
density of states at the Fermi level: 6.28 states/eV per cell

a b c (Å): 3.829 12.912 3.833
angles (deg): 89.93 90.00 81.38
Sites, in units of the cell vectors:
K 0.738 0.014 0.139
K 0.075 0.343 0.640
Zn 0.854 0.772 0.640
Zn 0.354 0.772 0.140
Nb 0.437 0.607 0.641
Nb 0.937 0.607 0.141